Entry 1:
Density functional theory data (PBE-GGA) for crystalline Pm3CuSe6 at its relaxed geometry.

Summary:
Its size of the total moment is 0.000 μB per atom. The space group is Cmc2_1, No. 36. The calculation puts the energy relative to the elements, uncorrected at -1373 meV/atom. The value obtained for the density is 5.7 g/cm³.

Cell lengths 8.9266, 8.9266, 7.1425 Å; angles 90.00, 90.00, 99.08 degrees
Fractional coordinates of all 20 atoms:
Pm1 0.0919 0.9081 0.5000
Pm2 0.2051 0.4044 0.6280
Pm3 0.4044 0.2051 0.1280
Pm4 0.5956 0.7949 0.6280
Pm5 0.7949 0.5956 0.1280
Pm6 0.9081 0.0919 0.0000
Cu1 0.2899 0.7101 0.2038
Cu2 0.7101 0.2899 0.7038
Se1 0.0650 0.5955 0.3597
Se2 0.1136 0.2020 0.3093
Se3 0.2020 0.1136 0.8093
Se4 0.3383 0.6617 0.8766
Se5 0.4045 0.9350 0.3597
Se6 0.4776 0.5224 0.3370
Se7 0.5224 0.4776 0.8370
Se8 0.5955 0.0650 0.8597
Se9 0.6617 0.3383 0.3766
Se10 0.7980 0.8864 0.3093
Se11 0.8864 0.7980 0.8093
Se12 0.9350 0.4045 0.8597

=====

Entry 2:
Density functional theory data (PBE-GGA) for crystalline PmCu5Se4 at its relaxed geometry.

Summary:
Its size of the total moment is 0.000 μB per atom. The space group is Immm, No. 71. The calculation puts the energy relative to the elements, uncorrected at -458 meV/atom. The value obtained for the density is 6.7 g/cm³.

Cell lengths 7.7218, 7.7218, 7.7218 Å; angles 149.71, 122.52, 66.35 degrees
Fractional coordinates of all 10 atoms:
Pm1 0.0000 0.0000 0.0000
Cu1 0.0017 0.3185 0.6833
Cu2 0.3648 0.6815 0.6833
Cu3 0.5000 0.0000 0.5000
Cu4 0.6352 0.3185 0.3167
Cu5 0.9983 0.6815 0.3167
Se1 0.2359 0.2359 0.0000
Se2 0.2845 0.5000 0.7845
Se3 0.7155 0.5000 0.2155
Se4 0.7641 0.7641 0.0000

=====

Entry 3:
Density functional theory data (PBE-GGA) for crystalline Pm3Cu2Se6 at its relaxed geometry.

Summary:
Its size of the total moment is 0.000 μB per atom. The space group is I4/mmm, No. 139. The calculation puts the energy relative to the elements, uncorrected at -1165 meV/atom. The value obtained for the density is 6.5 g/cm³.

Cell lengths 12.2254, 12.2254, 12.2254 Å; angles 157.57, 157.57, 31.93 degrees
Fractional coordinates of all 11 atoms:
Pm1 0.0000 0.0000 0.0000
Pm2 0.1690 0.1690 0.0000
Pm3 0.8310 0.8310 0.0000
Cu1 0.3968 0.3968 0.0000
Cu2 0.6032 0.6032 0.0000
Se1 0.0809 0.5809 0.5000
Se2 0.2916 0.2916 0.0000
Se3 0.4191 0.9191 0.5000
Se4 0.5809 0.0809 0.5000
Se5 0.7084 0.7084 0.0000
Se6 0.9191 0.4191 0.5000

=====

Entry 4:
Density functional theory data (PBE-GGA) for crystalline Pm2CuSe3 at its relaxed geometry.

Summary:
Its size of the total moment is 0.000 μB per atom. The space group is Immm, No. 71. The calculation puts the energy relative to the elements, uncorrected at -1376 meV/atom. The value obtained for the density is 6.7 g/cm³.

Cell lengths 8.7269, 8.7269, 8.7269 Å; angles 154.04, 149.94, 40.12 degrees
Fractional coordinates of all 6 atoms:
Pm1 0.1393 0.1393 0.0000
Pm2 0.8607 0.8607 0.0000
Cu1 0.5000 0.5000 0.0000
Se1 0.0000 0.5000 0.5000
Se2 0.3234 0.3234 0.0000
Se3 0.6766 0.6766 0.0000

=====

Entry 5:
Density functional theory data (PBE-GGA) for crystalline Pm6CuSe5 at its relaxed geometry.

Summary:
Its size of the total moment is 0.000 μB per atom. The space group is C2/m, No. 12. The calculation puts the energy relative to the elements, uncorrected at -1578 meV/atom. The value obtained for the density is 7.0 g/cm³.

Cell lengths 7.2663, 7.2663, 7.2611 Å; angles 99.65, 99.65, 119.96 degrees
Fractional coordinates of all 12 atoms:
Pm1 0.0806 0.4082 0.7448
Pm2 0.2442 0.2442 0.2531
Pm3 0.4082 0.0806 0.7448
Pm4 0.5918 0.9194 0.2552
Pm5 0.7558 0.7558 0.7469
Pm6 0.9194 0.5918 0.2552
Cu1 0.0000 0.0000 0.5000
Se1 0.1708 0.8292 0.0000
Se2 0.3346 0.6654 0.5000
Se3 0.5000 0.5000 0.0000
Se4 0.6654 0.3346 0.5000
Se5 0.8292 0.1708 0.0000

=====

Entry 6:
Density functional theory data (PBE-GGA) for crystalline Pm3Cu5Se12 at its relaxed geometry.

Summary:
Its size of the total moment is 0.000 μB per atom. The space group is Ia-3d, No. 230. The calculation puts the energy relative to the elements, uncorrected at -638 meV/atom. The value obtained for the density is 5.9 g/cm³.

Cell lengths 13.5246, 13.5246, 13.5246 Å; angles 109.47, 109.47, 109.47 degrees
Fractional coordinates of all 80 atoms:
Pm1 0.1250 0.2500 0.3750
Pm2 0.1250 0.3750 0.7500
Pm3 0.2500 0.3750 0.1250
Pm4 0.2500 0.8750 0.6250
Pm5 0.3750 0.1250 0.2500
Pm6 0.3750 0.7500 0.1250
Pm7 0.6250 0.2500 0.8750
Pm8 0.6250 0.8750 0.7500
Pm9 0.7500 0.1250 0.3750
Pm10 0.7500 0.6250 0.8750
Pm11 0.8750 0.6250 0.2500
Pm12 0.8750 0.7500 0.6250
Cu1 0.0000 0.0000 0.0000
Cu2 0.0000 0.0000 0.5000
Cu3 0.0000 0.5000 0.0000
Cu4 0.0000 0.5000 0.5000
Cu5 0.1250 0.7500 0.8750
Cu6 0.1250 0.8750 0.2500
Cu7 0.2500 0.1250 0.8750
Cu8 0.2500 0.6250 0.3750
Cu9 0.3750 0.2500 0.6250
Cu10 0.3750 0.6250 0.7500
Cu11 0.5000 0.0000 0.0000
Cu12 0.5000 0.0000 0.5000
Cu13 0.5000 0.5000 0.0000
Cu14 0.5000 0.5000 0.5000
Cu15 0.6250 0.3750 0.2500
Cu16 0.6250 0.7500 0.3750
Cu17 0.7500 0.3750 0.6250
Cu18 0.7500 0.8750 0.1250
Cu19 0.8750 0.1250 0.7500
Cu20 0.8750 0.2500 0.1250
Se1 0.0295 0.2047 0.1201
Se2 0.0295 0.3248 0.9094
Se3 0.0847 0.7047 0.6752
Se4 0.0847 0.8799 0.4094
Se5 0.0906 0.6201 0.4153
Se6 0.0906 0.9705 0.6752
Se7 0.1201 0.0295 0.2047
Se8 0.1201 0.5906 0.9153
Se9 0.1752 0.2047 0.5847
Se10 0.1752 0.4705 0.5906
Se11 0.2047 0.1201 0.0295
Se12 0.2047 0.5847 0.1752
Se13 0.2953 0.3248 0.9153
Se14 0.2953 0.4705 0.3799
Se15 0.3248 0.9094 0.0295
Se16 0.3248 0.9153 0.2953
Se17 0.3799 0.2953 0.4705
Se18 0.3799 0.5847 0.9094
Se19 0.4094 0.0847 0.8799
Se20 0.4094 0.8248 0.5295
Se21 0.4153 0.0906 0.6201
Se22 0.4153 0.8248 0.7953
Se23 0.4705 0.3799 0.2953
Se24 0.4705 0.5906 0.1752
Se25 0.5295 0.4094 0.8248
Se26 0.5295 0.6201 0.7047
Se27 0.5847 0.1752 0.2047
Se28 0.5847 0.9094 0.3799
Se29 0.5906 0.1752 0.4705
Se30 0.5906 0.9153 0.1201
Se31 0.6201 0.4153 0.0906
Se32 0.6201 0.7047 0.5295
Se33 0.6752 0.0847 0.7047
Se34 0.6752 0.0906 0.9705
Se35 0.7047 0.5295 0.6201
Se36 0.7047 0.6752 0.0847
Se37 0.7953 0.4153 0.8248
Se38 0.7953 0.8799 0.9705
Se39 0.8248 0.5295 0.4094
Se40 0.8248 0.7953 0.4153
Se41 0.8799 0.4094 0.0847
Se42 0.8799 0.9705 0.7953
Se43 0.9094 0.0295 0.3248
Se44 0.9094 0.3799 0.5847
Se45 0.9153 0.1201 0.5906
Se46 0.9153 0.2953 0.3248
Se47 0.9705 0.6752 0.0906
Se48 0.9705 0.7953 0.8799